VASP calculation (PBE) on KTbZr after structural relaxation.

```
3
Lattice="0.000 4.001 4.001 4.001 0.000 4.001 4.001 4.001 0.000" Properties=species:S:1:pos:R:3 pbc="T T T"
K 0.000 0.000 0.000
Tb 4.001 4.001 4.001
Zr 2.000 2.000 2.000
```

Summary:
* final energy: -9.94 eV/cell
* ΔE to the lowest computed polymorph: 630 meV per atom
* total magnetization: 1.6449 μB per atom